Run a
This record from the Alexandria database describes an optimized crystal structure of NiBiTeN2. The functional is GGA-PBE.

Values from the calculation:
Density of states at the Fermi level, states/eV/f.u.: 2.59

Cell lengths 4.1429, 4.1429, 5.0960 Å; angles 90.00, 90.00, 90.00 degrees
Space group P4/mmm (No. 123)
Asymmetric unit:
Ni: 0.0000 0.0000 0.0000
Bi: 0.5000 0.5000 0.5000
Te: 0.0000 0.0000 0.5000
N: 0.0000 0.5000 0.0000

---

Run b
This record from the Alexandria database describes an optimized crystal structure of NiBiTeN2. The functional is GGA-PBE.

Values from the calculation:
Density of states at the Fermi level, states/eV/f.u.: 6.70

Cell lengths 4.2237, 4.2237, 6.4951 Å; angles 90.00, 90.00, 90.00 degrees
Space group P4/mmm (No. 123)
Asymmetric unit:
Ni: 0.0000 0.0000 0.0000
Bi: 0.5000 0.5000 0.5000
Te: 0.5000 0.5000 0.0000
N: 0.0000 0.5000 0.5000

---

Stability summary - winner: run a; margin: 481 meV/atom.

---

Run a
This record from the Alexandria database describes an optimized crystal structure of NpBiN. The functional is GGA-PBE.

Values from the calculation:
Density of states at the Fermi level, states/eV/f.u.: 7.75

Cell lengths 3.7108, 3.7108, 5.5589 Å; angles 90.00, 90.00, 120.00 degrees
Space group P-6m2 (No. 187)
Asymmetric unit:
Np: 0.0000 0.0000 0.0000
Bi: 0.6667 0.3333 0.5000
N: 0.3333 0.6667 0.0000

---

Run b
This record from the Alexandria database describes an optimized crystal structure of NpBiN. The functional is GGA-PBE.

Values from the calculation:
Density of states at the Fermi level, states/eV/f.u.: 7.22

Cell lengths 4.0010, 4.0010, 7.8231 Å; angles 90.00, 90.00, 90.00 degrees
Space group P4/nmm (No. 129, origin choice 2)
Asymmetric unit:
Np: 0.2500 0.2500 0.1344
Bi: 0.2500 0.2500 0.6018
N: 0.2500 0.7500 0.0000

---

Run c
This record from the Alexandria database describes an optimized crystal structure of NpBiN. The functional is GGA-PBE.

Values from the calculation:
Density of states at the Fermi level, states/eV/f.u.: 4.37

Cell lengths 3.8962, 3.8962, 16.1235 Å; angles 90.00, 90.00, 90.00 degrees
Space group I4/mmm (No. 139)
Asymmetric unit:
Np: 0.0000 0.0000 0.0716
Bi: 0.0000 0.0000 0.3079
N: 0.0000 0.5000 0.0000

---

Run d
This record from the Alexandria database describes an optimized crystal structure of NpBiN. The functional is GGA-PBE.

Values from the calculation:
Density of states at the Fermi level, states/eV/f.u.: 5.23

Cell lengths 3.1980, 3.1980, 12.7564 Å; angles 90.00, 90.00, 90.00 degrees
Space group I4mm (No. 107)
Asymmetric unit:
Np: 0.0000 0.0000 0.0000
Bi: 0.0000 0.0000 0.2735
N: 0.0000 0.0000 0.5373

---

Stability summary - winner: run b; margin: 284 meV/atom.

---

Run a
This record from the Alexandria database describes an optimized crystal structure of BiSe2NO. The functional is GGA-PBE.

Values from the calculation:
Density of states at the Fermi level, states/eV/f.u.: 1.79

Cell lengths 4.3142, 4.3142, 4.6191 Å; angles 90.00, 90.00, 90.00 degrees
Space group P4/mmm (No. 123)
Asymmetric unit:
Bi: 0.0000 0.0000 0.0000
Se: 0.0000 0.5000 0.5000
N: 0.5000 0.5000 0.0000
O: 0.5000 0.5000 0.5000

---

Run b
This record from the Alexandria database describes an optimized crystal structure of BiSe2NO. The functional is GGA-PBE.

Values from the calculation:
Density of states at the Fermi level, states/eV/f.u.: 4.02

Cell lengths 5.6367, 5.6367, 4.5901 Å; angles 90.00, 90.00, 90.00 degrees
Space group P4/mmm (No. 123)
Asymmetric unit:
Bi: 0.0000 0.0000 0.0000
Se: 0.0000 0.5000 0.0000
N: 0.0000 0.0000 0.5000
O: 0.5000 0.5000 0.5000

---

Stability summary - winner: run a; margin: 565 meV/atom.

---

Run a
This record from the Alexandria database describes an optimized crystal structure of BiOs3N. The functional is GGA-PBE.

Values from the calculation:
Density of states at the Fermi level, states/eV/f.u.: 7.47

Cell lengths 5.0270, 5.0270, 5.0270 Å; angles 90.00, 90.00, 90.00 degrees
Space group Pm-3m (No. 221)
Asymmetric unit:
Bi: 0.0000 0.0000 0.0000
Os: 0.0000 0.0000 0.5000
N: 0.5000 0.5000 0.5000

---

Run b
This record from the Alexandria database describes an optimized crystal structure of BiOs3N. The functional is GGA-PBE.

Values from the calculation:
Density of states at the Fermi level, states/eV/f.u.: 3.47

Cell lengths 4.2200, 4.2200, 4.2200 Å; angles 90.00, 90.00, 90.00 degrees
Space group Pm-3m (No. 221)
Asymmetric unit:
Bi: 0.0000 0.0000 0.0000
Os: 0.0000 0.5000 0.5000
N: 0.5000 0.5000 0.5000

---

Stability summary - winner: run b; margin: 3258 meV/atom.